! Tl3FeCu | Alexandria | PBEsol | relaxed; values from VASP
! DOS(E_F)	5.7	states/eV/cell
! volume	124	Å³/cell
! E_form	720	meV/atom
! SG	No. 221
! ρ	9.83	Mg/m³
&SYSTEM
  ibrav = 0, nat = 5, ntyp = 3
/
ATOMIC_SPECIES
Tl 204.38 Tl.upf
Fe 55.84 Fe.upf
Cu 63.55 Cu.upf
ATOMIC_POSITIONS crystal
Tl 0.000 0.500 0.000
Tl 0.000 0.000 0.500
Tl 0.500 0.000 0.000
Fe 0.000 0.000 0.000
Cu 0.500 0.500 0.500
CELL_PARAMETERS angstrom
-2.972 2.954 -2.697
-3.384 -3.649 -0.269
-2.134 1.671 4.182

***

! TlFe2Cu | Alexandria | PBEsol | relaxed; values from VASP
! energy relative to the lowest polymorph listed for this composition	132	meV per atom
! DOS(E_F)	4.2	states/eV/cell
! volume	55	Å³/cell
! E_form	529	meV/atom
! SG	No. 225
! ρ	11.37	Mg/m³
&SYSTEM
  ibrav = 0, nat = 4, ntyp = 3
/
ATOMIC_SPECIES
Cu 63.55 Cu.upf
Fe 55.84 Fe.upf
Tl 204.38 Tl.upf
ATOMIC_POSITIONS crystal
Cu 0.000 0.000 0.000
Fe 0.250 0.250 0.250
Fe 0.750 0.750 0.750
Tl 0.500 0.500 0.500
CELL_PARAMETERS angstrom
4.280 0.000 0.000
2.140 3.707 0.000
2.140 1.236 3.495

***

! TlFe2Cu | Alexandria | PBEsol | relaxed; values from VASP
! energy relative to the lowest polymorph listed for this composition	287	meV per atom
! DOS(E_F)	4.1	states/eV/cell
! volume	59	Å³/cell
! E_form	684	meV/atom
! SG	No. 166
! ρ	10.69	Mg/m³
&SYSTEM
  ibrav = 0, nat = 4, ntyp = 3
/
ATOMIC_SPECIES
Cu 63.55 Cu.upf
Fe 55.84 Fe.upf
Tl 204.38 Tl.upf
ATOMIC_POSITIONS crystal
Cu 0.000 0.000 0.000
Fe 0.258 0.258 0.226
Fe 0.742 0.742 0.774
Tl 0.500 0.500 0.500
CELL_PARAMETERS angstrom
2.849 0.000 0.000
1.424 2.467 0.000
1.424 0.822 8.395

***

! Tl2Fe2Cu | Alexandria | PBEsol | relaxed; values from VASP
! energy relative to the lowest polymorph listed for this composition	244	meV per atom
! DOS(E_F)	3.8	states/eV/cell
! volume	90	Å³/cell
! E_form	818	meV/atom
! SG	No. 139
! ρ	10.77	Mg/m³
&SYSTEM
  ibrav = 0, nat = 5, ntyp = 3
/
ATOMIC_SPECIES
Tl 204.38 Tl.upf
Fe 55.84 Fe.upf
Cu 63.55 Cu.upf
ATOMIC_POSITIONS crystal
Tl 0.500 0.250 0.250
Tl 0.500 0.750 0.750
Fe 0.000 0.350 0.650
Fe 0.000 0.650 0.350
Cu 0.000 0.000 0.000
CELL_PARAMETERS angstrom
-2.952 2.418 -3.266
3.587 -3.079 -1.698
-3.398 -2.573 -2.658

***

! FeCuW2 | Alexandria | PBEsol | relaxed; values from VASP
! energy relative to the lowest polymorph listed for this composition	96	meV per atom
! DOS(E_F)	3.0	states/eV/cell
! volume	54	Å³/cell
! E_form	322	meV/atom
! SG	No. 25
! ρ	14.87	Mg/m³
&SYSTEM
  ibrav = 0, nat = 4, ntyp = 3
/
ATOMIC_SPECIES
Cu 63.55 Cu.upf
Fe 55.84 Fe.upf
W 183.84 W.upf
ATOMIC_POSITIONS crystal
Cu 0.000 0.000 0.510
Fe 0.500 0.500 0.736
W 0.000 0.000 0.986
W 0.500 0.500 0.268
CELL_PARAMETERS angstrom
2.584 0.000 0.000
0.000 3.906 0.000
0.000 0.000 5.386

***

! FeCuW | Alexandria | PBEsol | relaxed; values from VASP
! DOS(E_F)	3.3	states/eV/cell
! volume	45	Å³/cell
! E_form	1038	meV/atom
! SG	No. 216
! ρ	11.31	Mg/m³
&SYSTEM
  ibrav = 0, nat = 3, ntyp = 3
/
ATOMIC_SPECIES
Cu 63.55 Cu.upf
Fe 55.84 Fe.upf
W 183.84 W.upf
ATOMIC_POSITIONS crystal
Cu 0.000 0.000 0.000
Fe 0.500 0.500 0.500
W 0.250 0.250 0.250
CELL_PARAMETERS angstrom
-1.880 -3.365 -0.984
-0.858 -2.691 2.802
-3.774 -0.570 1.121

***

! FeCuW2 | Alexandria | PBEsol | relaxed; values from VASP
! energy relative to the lowest polymorph listed for this composition	0	meV per atom
! DOS(E_F)	2.6	states/eV/cell
! volume	53	Å³/cell
! E_form	226	meV/atom
! SG	No. 6
! ρ	15.14	Mg/m³
&SYSTEM
  ibrav = 0, nat = 4, ntyp = 3
/
ATOMIC_SPECIES
Cu 63.55 Cu.upf
Fe 55.84 Fe.upf
W 183.84 W.upf
ATOMIC_POSITIONS crystal
Cu 0.379 0.000 0.492
Fe 0.342 0.500 0.763
W 0.005 0.000 0.970
W 0.774 0.500 0.275
CELL_PARAMETERS angstrom
2.602 0.000 0.013
0.000 4.262 0.000
-0.632 0.000 4.813

***

! FeCuW2 | Alexandria | PBEsol | relaxed; values from VASP
! energy relative to the lowest polymorph listed for this composition	133	meV per atom
! DOS(E_F)	4.8	states/eV/cell
! volume	54	Å³/cell
! E_form	359	meV/atom
! SG	No. 119
! ρ	15.03	Mg/m³
&SYSTEM
  ibrav = 0, nat = 4, ntyp = 3
/
ATOMIC_SPECIES
Cu 63.55 Cu.upf
Fe 55.84 Fe.upf
W 183.84 W.upf
ATOMIC_POSITIONS crystal
Cu 0.500 0.500 0.000
Fe 0.250 0.750 0.500
W 0.000 0.000 0.000
W 0.750 0.250 0.500
CELL_PARAMETERS angstrom
3.711 0.000 0.000
0.000 3.711 0.000
-1.856 -1.856 3.907